[1]
Nd3BeHg2Rh3 PBE-GGA optimized geometry; density = 9.980 Mg/m³
1.0
7.769 0.000 0.000
-3.884 6.728 0.000
0.000 0.000 3.666
Nd Be Hg Rh
3 1 2 3
Cartesian
-1.373 2.378 0.000 Nd
2.746 0.000 0.000 Nd
2.511 4.350 0.000 Nd
0.000 0.000 0.000 Be
0.000 4.485 1.833 Hg
3.884 2.243 1.833 Hg
-3.060 5.301 1.833 Rh
0.824 1.428 1.833 Rh
6.121 0.000 1.833 Rh



[2]
BeNi2Hg PBE-GGA optimized geometry; excess energy over the best structure of this formula in the dataset = 0 meV/atom; density = 10.890 Mg/m³
1.0
2.756 0.000 0.000
0.000 2.756 0.000
0.000 0.000 6.567
Be Ni Hg
1 2 1
Cartesian
0.000 0.000 0.000 Be
1.378 1.378 1.244 Ni
1.378 1.378 5.323 Ni
0.000 0.000 3.283 Hg



[3]
BeNiHg2 PBE-GGA optimized geometry; density = 11.530 Mg/m³
1.0
-3.474 3.474 2.798
3.474 -3.474 2.798
3.474 3.474 -2.798
Be Ni Hg
2 2 4
Cartesian
0.000 0.000 0.000 Be
0.000 3.474 1.399 Be
3.474 0.000 1.399 Ni
0.000 0.000 2.798 Ni
5.211 1.534 -0.699 Hg
1.534 1.737 0.699 Hg
-1.737 1.940 2.098 Hg
1.940 1.737 3.497 Hg



[4]
BeNi2Hg PBE-GGA optimized geometry; excess energy over the best structure of this formula in the dataset = 144 meV/atom; density = 10.800 Mg/m³
1.0
-1.541 2.117 3.852
1.541 -2.117 3.852
1.541 2.117 -3.852
Be Ni Hg
1 2 1
Cartesian
0.000 0.000 0.000 Be
1.541 0.000 1.645 Ni
0.000 2.117 2.207 Ni
0.000 0.000 3.852 Hg



[5]
BeNi2Hg PBE-GGA optimized geometry; excess energy over the best structure of this formula in the dataset = 128 meV/atom; density = 10.643 Mg/m³
1.0
2.887 0.000 0.000
0.000 2.887 0.000
0.000 0.000 6.122
Be Ni Hg
1 2 1
Cartesian
0.000 0.000 0.000 Be
0.000 0.000 3.801 Ni
1.443 1.443 5.245 Ni
1.443 1.443 1.944 Hg



[6]
BeNiHg2 PBE-GGA optimized geometry; density = 12.069 Mg/m³
1.0
0.000 3.183 3.183
3.183 0.000 3.183
3.183 3.183 0.000
Be Ni Hg
1 1 2
Cartesian
0.000 0.000 0.000 Be
1.592 1.592 1.592 Ni
3.183 3.183 3.183 Hg
4.775 4.775 4.775 Hg



[7]
BeNiHg2 PBE-GGA optimized geometry; density = 12.510 Mg/m³
1.0
3.041 -3.054 0.000
3.041 3.054 0.000
-0.007 0.000 3.350
Be Ni Hg
1 1 2
Cartesian
0.000 0.000 0.000 Be
3.041 0.000 0.000 Ni
1.517 1.527 1.675 Hg
1.517 -1.527 1.675 Hg



[8]
BeNiHg2 PBE-GGA optimized geometry; density = 11.974 Mg/m³
1.0
4.184 -1.522 0.000
4.184 1.522 0.000
-1.184 0.000 5.106
Be Ni Hg
1 1 2
Cartesian
0.000 0.000 0.000 Be
3.591 0.000 2.553 Ni
1.259 0.000 3.861 Hg
5.924 0.000 1.245 Hg



[9]
BeNiHg2 PBE-GGA optimized geometry; density = 12.170 Mg/m³
1.0
-1.551 2.137 4.826
1.551 -2.137 4.826
1.551 2.137 -4.826
Be Ni Hg
1 1 2
Cartesian
0.000 0.000 0.000 Be
1.551 0.000 1.534 Ni
0.000 0.000 4.301 Hg
0.000 2.137 2.236 Hg



[10]
BeNiHg2 PBE-GGA optimized geometry; density = 12.549 Mg/m³
1.0
3.143 0.000 0.000
0.000 3.208 0.000
0.000 0.000 6.154
Be Ni Hg
1 1 2
Cartesian
0.000 0.000 0.000 Be
0.000 0.000 3.077 Ni
1.571 1.604 1.504 Hg
1.571 1.604 4.650 Hg



[11]
BeNi2Hg PBE-GGA optimized geometry; excess energy over the best structure of this formula in the dataset = 170 meV/atom; density = 10.660 Mg/m³
1.0
-1.882 1.882 3.597
1.882 -1.882 3.597
1.882 1.882 -3.597
Be Ni Hg
1 2 1
Cartesian
0.000 0.000 0.000 Be
1.882 0.000 1.798 Ni
0.000 1.882 1.798 Ni
0.000 0.000 3.597 Hg



[12]
BeNi2Hg PBE-GGA optimized geometry; excess energy over the best structure of this formula in the dataset = 112 meV/atom; density = 10.150 Mg/m³
1.0
1.888 1.090 4.330
-1.888 1.090 4.330
0.000 -2.180 4.330
Be Ni Hg
1 2 1
Cartesian
0.000 0.000 0.000 Be
0.000 0.000 3.761 Ni
0.000 0.000 9.231 Ni
0.000 0.000 6.496 Hg



no.,Fermi-level density of states (states/eV/atom),energy of formation from the pure elements (meV/atom)
1,0.531,-507
2,0.352,-38
3,0.344,525
4,0.517,106
5,0.728,90
6,0.605,490
7,0.476,354
8,0.479,435
9,0.398,269
10,0.411,371
11,0.477,133
12,0.410,75